# 1
The following is a PBE-GGA calculation of a relaxed Ti4BeSi crystal, from the Alexandria database.

Geometry as extended XYZ:
```
12
Lattice="-4.1692 -2.5254 0.2236 2.5749 -3.9075 3.8799 -1.8290 3.4330 4.6714" Properties=species:S:1:pos:R:3 pbc="T T T"
Ti -0.7758 1.6036 3.6472
Ti 1.5217 -2.0781 4.9041
Ti 0.6139 -0.8268 2.1082
Ti 0.1321 0.3523 6.4430
Ti -1.1058 -2.3216 6.4026
Ti -2.3174 -0.6783 2.3722
Ti -0.7063 -3.2496 3.3718
Ti -2.7170 0.2496 5.4030
Be -0.6693 -0.8686 4.3315
Be -2.7539 -2.1313 4.4433
Si -1.0423 -0.6314 0.0559
Si -3.1269 -1.8941 0.1677
```

Summary:
As for the raw total energy: -0.523 Ry per atom. The value obtained for the size of the total moment is 0.000 Bohr magnetons per cell. For the formation energy without anion corrections, the calculation gives -0.327 eV/atom. As for the density: 4.21 Mg/m³.



# 2
The following is a PBE-GGA calculation of a relaxed Ti2BeSi2 crystal, from the Alexandria database.

Geometry as extended XYZ:
```
10
Lattice="-4.1423 4.0469 -1.9925 -3.1011 -4.5194 -2.7321 -1.9886 -0.5093 3.0997" Properties=species:S:1:pos:R:3 pbc="T T T"
Be 0.0000 0.0000 0.0000
Be -3.6217 -0.2362 -2.3623
Si -4.1933 -2.4321 -3.0898
Si -5.5522 0.6294 -3.4586
Si -3.0501 1.9596 -1.6348
Si -1.6913 -1.1019 -1.2661
Ti -3.7814 -2.5950 -0.6228
Ti -6.3443 -1.2883 -2.0523
Ti -5.4507 1.6132 -1.0022
Ti -2.8877 0.3065 0.4273
```

Summary:
As for the raw total energy: -0.481 Ry per atom. The value obtained for the size of the total moment is 0.000 Bohr magnetons per cell. For the formation energy without anion corrections, the calculation gives -0.477 eV/atom. As for the density: 3.83 Mg/m³. As for the relative energy among the computed polymorphs: 160 meV per atom.



# 3
The following is a PBE-GGA calculation of a relaxed Ti3BeSi crystal, from the Alexandria database.

Geometry as extended XYZ:
```
10
Lattice="-0.0592 -4.0827 2.2937 4.4246 -2.0623 -3.5565 1.3474 2.8689 5.1413" Properties=species:S:1:pos:R:3 pbc="T T T"
Ti 3.8396 -2.1691 -1.3712
Ti 1.8732 -1.1069 5.2497
Ti 4.4378 -0.8946 0.9127
Ti 1.2750 -2.3814 2.9658
Ti 1.8742 -1.2529 0.2089
Ti 3.8386 -2.0232 3.6696
Be 0.0000 0.0000 0.0000
Be -0.0296 -2.0413 1.1469
Si 2.3590 0.2035 2.8136
Si 3.3538 -3.4795 1.0649
```

Summary:
As for the raw total energy: -0.490 Ry per atom. The value obtained for the size of the total moment is 0.000 Bohr magnetons per cell. For the formation energy without anion corrections, the calculation gives -0.106 eV/atom. As for the density: 4.06 Mg/m³. As for the relative energy among the computed polymorphs: 0 meV per atom.



# 4
The following is a PBE-GGA calculation of a relaxed Ti3Be4Si2 crystal, from the Alexandria database.

Geometry as extended XYZ:
```
9
Lattice="3.7719 0.0000 0.0000 -1.8860 4.1374 -1.4689 0.0000 -0.5062 7.1337" Properties=species:S:1:pos:R:3 pbc="T T T"
Ti 1.8860 1.0636 4.2574
Ti 0.0000 0.0000 0.0000
Ti 0.0000 2.5677 1.4073
Be 1.8860 1.8698 -0.2747
Be 0.0000 1.7615 5.9395
Be 1.8860 3.4630 3.0531
Be 0.0000 0.1683 2.6116
Si 1.8860 0.7561 1.6409
Si 0.0000 2.8752 4.0239
```

Summary:
As for the raw total energy: -0.438 Ry per atom. The value obtained for the size of the total moment is 0.000 Bohr magnetons per cell. For the formation energy without anion corrections, the calculation gives -0.473 eV/atom. As for the density: 3.61 Mg/m³.